An optimized crystal structure of Cs2TbSnSe4, computed with PBE-GGA.

Values from the calculation:
E_form (uncorrected) = -1097 meV/atom
Space group = Fddd, No. 70
Energy = -4.132 eV/atom
D(E_F) = 10.4 states/eV per cell

abc: 15.2217 13.5807 8.4683
angles: 83.90 62.52 33.59
With the nearest neighbours (Å) after each atom.
Sites, in units of the cell vectors:
Cs  0.0561  0.0561  0.6939  8 Se 3.95-4.21
Cs  0.3061  0.3061  0.9439  8 Se 3.95-4.21
Cs  0.6939  0.6939  0.0561  8 Se 3.95-4.21
Cs  0.9439  0.9439  0.3061  8 Se 3.95-4.21
Tb  0.1250  0.1250  0.1250  4 Se 2.73
Tb  0.8750  0.8750  0.8750  4 Se 2.73
Sn  0.3750  0.3750  0.3750  4 Se 2.73
Sn  0.6250  0.6250  0.6250  4 Se 2.73
Se  0.0296  0.3275  0.4221  1 Tb 2.73, 1 Sn 2.73
Se  0.2791  0.5779  0.6725  1 Tb 2.73, 1 Sn 2.73
Se  0.3275  0.0296  0.7209  1 Tb 2.73, 1 Sn 2.73
Se  0.4221  0.7209  0.0296  1 Tb 2.73, 1 Sn 2.73
Se  0.5779  0.2791  0.9704  1 Tb 2.73, 1 Sn 2.73
Se  0.6725  0.9704  0.2791  1 Tb 2.73, 1 Sn 2.73
Se  0.7209  0.4221  0.3275  1 Tb 2.73, 1 Sn 2.73
Se  0.9704  0.6725  0.5779  1 Tb 2.73, 1 Sn 2.73

=====

An optimized crystal structure of Cs3Tb3SnSe8, computed with PBE-GGA.

Values from the calculation:
E_form (uncorrected) = -1444 meV/atom
Space group = R-3m, No. 166
Energy = -4.666 eV/atom
D(E_F) = 1.8 states/eV per cell

abc: 9.8563 9.8563 9.8563
angles: 50.36 50.36 50.36
With the nearest neighbours (Å) after each atom.
Sites, in units of the cell vectors:
Cs  0.0000  0.5000  0.5000  6 Se 3.63
Cs  0.5000  0.0000  0.5000  6 Se 3.63
Cs  0.5000  0.5000  0.0000  6 Se 3.63
Tb  0.0000  0.0000  0.5000  6 Se 2.89-2.92
Tb  0.0000  0.5000  0.0000  6 Se 2.89-2.92
Tb  0.5000  0.0000  0.0000  6 Se 2.89-2.92
Sn  0.5000  0.5000  0.5000  6 Se 2.80
Se  0.2282  0.2282  0.2282  3 Tb 2.89
Se  0.2395  0.7207  0.7207  1 Sn 2.80, 2 Tb 2.92
Se  0.2793  0.2793  0.7605  1 Sn 2.80, 2 Tb 2.92
Se  0.2793  0.7605  0.2793  1 Sn 2.80, 2 Tb 2.92
Se  0.7207  0.2395  0.7207  1 Sn 2.80, 2 Tb 2.92
Se  0.7207  0.7207  0.2395  1 Sn 2.80, 2 Tb 2.92
Se  0.7605  0.2793  0.2793  1 Sn 2.80, 2 Tb 2.92
Se  0.7718  0.7718  0.7718  3 Tb 2.89

=====

An optimized crystal structure of Cs3Tb2SnSe6, computed with PBE-GGA.

Values from the calculation:
E_form (uncorrected) = -1373 meV/atom
Space group = C2/m, No. 12
Energy = -4.434 eV/atom
D(E_F) = 4.8 states/eV per cell

abc: 7.4486 7.4486 8.7126
angles: 98.17 98.17 120.02
With the nearest neighbours (Å) after each atom.
Sites, in units of the cell vectors:
Cs  0.0000  0.0000  0.0000  6 Se 3.61-3.62
Cs  0.3337  0.6663  0.0000  6 Se 3.61-3.62
Cs  0.6663  0.3337  0.0000  6 Se 3.61-3.62
Tb  0.1668  0.8332  0.5000  6 Se 2.92
Tb  0.8332  0.1668  0.5000  6 Se 2.92
Sn  0.5000  0.5000  0.5000  6 Se 2.93
Se  0.1038  0.4383  0.3148  2 Tb 2.92, 1 Sn 2.93
Se  0.2272  0.2272  0.6853  2 Tb 2.92, 1 Sn 2.93
Se  0.4383  0.1038  0.3148  2 Tb 2.92, 1 Sn 2.93
Se  0.5617  0.8962  0.6852  2 Tb 2.92, 1 Sn 2.93
Se  0.7728  0.7728  0.3147  2 Tb 2.92, 1 Sn 2.93
Se  0.8962  0.5617  0.6852  2 Tb 2.92, 1 Sn 2.93

=====

An optimized crystal structure of Cs2SnTeSe, computed with PBE-GGA.

Values from the calculation:
E_form (uncorrected) = -832 meV/atom
Space group = P2_1/m, No. 11
Energy = -3.299 eV/atom

abc: 8.8169 4.7243 12.9391
angles: 90.00 109.45 90.00
With the nearest neighbours (Å) after each atom.
Sites, in units of the cell vectors:
Cs  0.2055  0.2500  0.4712  3 Se 3.48-3.62, 1 Sn 3.90
Cs  0.2292  0.2500  0.8928  2 Se 3.55, 3 Te 3.96
Cs  0.7708  0.7500  0.1072  2 Se 3.55, 3 Te 3.96
Cs  0.7945  0.7500  0.5288  3 Se 3.48-3.62, 1 Sn 3.90
Sn  0.4917  0.2500  0.2975  1 Se 2.62
Sn  0.5083  0.7500  0.7025  1 Se 2.62
Te  0.3490  0.7500  0.1537  2 Sn 3.01
Te  0.6510  0.2500  0.8463  2 Sn 3.01
Se  0.2028  0.7500  0.6823  1 Sn 2.62
Se  0.7972  0.2500  0.3177  1 Sn 2.62

=====

An optimized crystal structure of Cs2Sn2Te2Se, computed with PBE-GGA.

Values from the calculation:
E_form (uncorrected) = -693 meV/atom
Space group = C2/m, No. 12
Energy = -3.476 eV/atom

abc: 7.6751 7.6751 10.7630
angles: 121.00 121.00 33.23
With the nearest neighbours (Å) after each atom.
Sites, in units of the cell vectors:
Cs  0.0448  0.0448  0.3034  2 Se 3.69, 3 Te 3.80-4.05, 1 Sn 4.11
Cs  0.9552  0.9552  0.6966  2 Se 3.69, 3 Te 3.80-4.05, 1 Sn 4.11
Sn  0.2848  0.2848  0.8991  1 Se 2.74, 2 Te 2.98
Sn  0.7152  0.7152  0.1009  1 Se 2.74, 2 Te 2.98
Te  0.3106  0.3106  0.3222  2 Sn 2.98
Te  0.6894  0.6894  0.6778  2 Sn 2.98
Se  0.5000  0.5000  0.0000  2 Sn 2.74

=====

An optimized crystal structure of Cs2Sn2TeSe2, computed with PBE-GGA.

Values from the calculation:
E_form (uncorrected) = -691 meV/atom
Space group = C2/m, No. 12
Energy = -3.523 eV/atom

abc: 7.9373 7.9373 8.8495
angles: 123.41 123.41 44.41
With the nearest neighbours (Å) after each atom.
Sites, in units of the cell vectors:
Cs  0.0566  0.0566  0.3105  2 Te 3.76, 2 Sn 4.02, 2 Se 4.03-4.20
Cs  0.9434  0.9434  0.6895  2 Te 3.76, 2 Sn 4.02, 2 Se 4.03-4.20
Sn  0.2644  0.2644  0.1564  1 Se 2.65, 1 Te 2.95
Sn  0.7356  0.7356  0.8436  1 Se 2.65, 1 Te 2.95
Te  0.5000  0.5000  0.5000  2 Sn 2.95
Se  0.2809  0.2809  0.8746  1 Sn 2.65
Se  0.7191  0.7191  0.1254  1 Sn 2.65

=====

An optimized crystal structure of CsTiSn2Se, computed with PBE-GGA.

Values from the calculation:
E_form (uncorrected) = 1592 meV/atom
Space group = P4/mmm, No. 123
Energy = -2.456 eV/atom
D(E_F) = 7.8 states/eV per cell

abc: 6.1177 6.1177 5.9175
angles: 90.00 90.00 90.00
With the nearest neighbours (Å) after each atom.
Sites, in units of the cell vectors:
Cs  0.0000  0.0000  0.0000  2 Se 2.96, 4 Sn 3.06
Ti  0.5000  0.5000  0.5000  8 Sn 4.26, 4 Se 4.33
Sn  0.0000  0.5000  0.0000  2 Cs 3.06
Sn  0.5000  0.0000  0.0000  2 Cs 3.06
Se  0.0000  0.0000  0.5000  2 Cs 2.96

=====

An optimized crystal structure of CsTlSnSe2, computed with PBE-GGA.

Values from the calculation:
E_form (uncorrected) = -665 meV/atom
Space group = C2/m, No. 12
Energy = -3.503 eV/atom

abc: 8.9840 8.9840 12.6700
angles: 123.26 123.26 28.35
With the nearest neighbours (Å) after each atom.
Sites, in units of the cell vectors:
Cs  0.2388  0.2388  0.1860  5 Se 3.64-3.87
Cs  0.7612  0.7612  0.8140  5 Se 3.64-3.87
Tl  0.1104  0.1104  0.4501  3 Se 3.03-3.24
Tl  0.8896  0.8896  0.5499  3 Se 3.03-3.24
Sn  0.4715  0.4715  0.1188  3 Se 2.66-2.82
Sn  0.5285  0.5285  0.8812  3 Se 2.66-2.82
Se  0.0948  0.0948  0.8162  2 Sn 2.82
Se  0.3525  0.3525  0.6804  1 Sn 2.66
Se  0.6475  0.6475  0.3196  1 Sn 2.66
Se  0.9052  0.9052  0.1838  2 Sn 2.82